Entry 1:
VASP calculation (PBE) on a relaxed Hf2SnIr crystal.

```
data_Hf2SnIr
_space_group_name_H-M_alt 'F -4 3 m'
_space_group_IT_number 216
_space_group_name_Hall 'F -4 2 3'
_cell_length_a 6.767
_cell_length_b 6.767
_cell_length_c 6.767
_cell_angle_alpha 90.00
_cell_angle_beta 90.00
_cell_angle_gamma 90.00
loop_
_atom_site_label
_atom_site_type_symbol
_atom_site_fract_x
_atom_site_fract_y
_atom_site_fract_z
_atom_site_occupancy
Hf1 Hf 0.000 0.000 0.000 1
Hf2 Hf 0.250 0.250 0.250 1
Sn1 Sn 0.000 0.000 0.500 1
Ir1 Ir 0.250 0.250 0.750 1
```

Computed properties:
Crystal system = cubic
Magnetization = 2.483 μB/f.u.
Electronic total energy = -8.325 eV per atom



Entry 2:
VASP calculation (PBE) on a relaxed ZrMoP crystal.

```
data_ZrMoP
_space_group_name_H-M_alt 'P n m a'
_space_group_IT_number 62
_cell_length_a 6.880
_cell_length_b 3.504
_cell_length_c 8.060
_cell_angle_alpha 90.00
_cell_angle_beta 90.00
_cell_angle_gamma 90.00
loop_
_space_group_symop_operation_xyz
'x,y,z'
'-x,-y,-z'
'-x+1/2,-y,z+1/2'
'x+1/2,y,-z+1/2'
'x+1/2,-y+1/2,-z+1/2'
'-x+1/2,y+1/2,z+1/2'
'-x,y+1/2,-z'
'x,-y+1/2,z'
loop_
_atom_site_label
_atom_site_type_symbol
_atom_site_fract_x
_atom_site_fract_y
_atom_site_fract_z
_atom_site_occupancy
Zr1 Zr 0.035 0.250 0.169 1
Mo1 Mo 0.140 0.250 0.559 1
P1 P 0.238 0.750 0.359 1
```

Computed properties:
Crystal system = orthorhombic
Magnetization = 0.005 μB/f.u.
Electronic total energy = -9.181 eV per atom



Entry 3:
VASP calculation (PBE) on a relaxed YHfCuPd crystal.

```
data_YHfCuPd
_space_group_name_H-M_alt 'F -4 3 m'
_space_group_IT_number 216
_space_group_name_Hall 'F -4 2 3'
_cell_length_a 6.620
_cell_length_b 6.620
_cell_length_c 6.620
_cell_angle_alpha 90.00
_cell_angle_beta 90.00
_cell_angle_gamma 90.00
loop_
_atom_site_label
_atom_site_type_symbol
_atom_site_fract_x
_atom_site_fract_y
_atom_site_fract_z
_atom_site_occupancy
Y1 Y 0.000 0.000 0.000 1
Hf1 Hf 0.250 0.250 0.750 1
Cu1 Cu 0.250 0.250 0.250 1
Pd1 Pd 0.000 0.000 0.500 1
```

Computed properties:
Crystal system = cubic
Magnetization = 0.000 μB/f.u.
Electronic total energy = -6.484 eV per atom



Entry 4:
VASP calculation (PBE) on a relaxed PrTmAg2 crystal.

```
data_PrTmAg2
_space_group_name_H-M_alt 'P 4/m m m'
_space_group_IT_number 123
_space_group_name_Hall '-P 4 2'
_cell_length_a 3.617
_cell_length_b 3.617
_cell_length_c 7.537
_cell_angle_alpha 90.00
_cell_angle_beta 90.00
_cell_angle_gamma 90.00
loop_
_atom_site_label
_atom_site_type_symbol
_atom_site_fract_x
_atom_site_fract_y
_atom_site_fract_z
_atom_site_occupancy
Pr1 Pr 0.000 0.000 0.000 1
Tm1 Tm 0.000 0.000 0.500 1
Ag1 Ag 0.500 0.500 0.278 1
```

Computed properties:
Crystal system = tetragonal
Magnetization = 0.165 μB/f.u.
Electronic total energy = -4.030 eV per atom



Entry 5:
VASP calculation (PBE) on a relaxed AcDyB4 crystal.

```
data_AcDyB4
_space_group_name_H-M_alt 'P 6/m m m'
_space_group_IT_number 191
_space_group_name_Hall '-P 6 2'
_cell_length_a 3.3345
_cell_length_b 3.3345
_cell_length_c 8.4081
_cell_angle_alpha 90.00
_cell_angle_beta 90.00
_cell_angle_gamma 120.00
loop_
_atom_site_label
_atom_site_type_symbol
_atom_site_fract_x
_atom_site_fract_y
_atom_site_fract_z
_atom_site_occupancy
Ac1 Ac 0.0000 0.0000 0.0000 1
Dy1 Dy 0.0000 0.0000 0.5000 1
B1 B 0.3333 0.6667 0.2750 1
```

Computed properties:
Crystal system = hexagonal
Magnetization = 0.013 μB/f.u.
Electronic total energy = -6.142 eV per atom



Entry 6:
VASP calculation (PBE) on a relaxed TbScGa2Pt4 crystal.

```
data_TbScGa2Pt4
_space_group_name_H-M_alt 'P -6 m 2'
_space_group_IT_number 187
_space_group_name_Hall 'P -6 2'
_cell_length_a 4.3459
_cell_length_b 4.3459
_cell_length_c 8.9357
_cell_angle_alpha 90.00
_cell_angle_beta 90.00
_cell_angle_gamma 120.00
loop_
_atom_site_label
_atom_site_type_symbol
_atom_site_fract_x
_atom_site_fract_y
_atom_site_fract_z
_atom_site_occupancy
Tb1 Tb 0.0000 0.0000 0.0000 1
Sc1 Sc 0.6667 0.3333 0.5000 1
Ga1 Ga 0.3333 0.6667 0.2561 1
Pt1 Pt 0.0000 0.0000 0.3447 1
Pt2 Pt 0.6667 0.3333 0.1721 1
```

Computed properties:
Crystal system = hexagonal
Magnetization = 0.003 μB/f.u.
Electronic total energy = -6.193 eV per atom



Entry 7:
VASP calculation (PBE) on a relaxed RbHoFeTe3 crystal.

```
data_RbHoFeTe3
_space_group_name_H-M_alt 'P 1 21/m 1'
_space_group_IT_number 11
_cell_length_a 9.769
_cell_length_b 4.293
_cell_length_c 11.096
_cell_angle_alpha 90.00
_cell_angle_beta 112.26
_cell_angle_gamma 90.00
loop_
_space_group_symop_operation_xyz
'x,y,z'
'-x,-y,-z'
'-x,y+1/2,-z'
'x,-y+1/2,z'
loop_
_atom_site_label
_atom_site_type_symbol
_atom_site_fract_x
_atom_site_fract_y
_atom_site_fract_z
_atom_site_occupancy
Rb1 Rb 0.237 0.250 0.273 1
Ho1 Ho 0.327 0.750 0.854 1
Fe1 Fe 0.066 0.250 0.579 1
Te1 Te 0.093 0.250 0.826 1
Te2 Te 0.222 0.750 0.550 1
Te3 Te 0.452 0.750 0.149 1
```

Computed properties:
Crystal system = monoclinic
Magnetization = 3.755 μB/f.u.
Electronic total energy = -4.758 eV per atom



Entry 8:
VASP calculation (PBE) on a relaxed TbAgGeO3 crystal.

```
data_TbAgGeO3
_space_group_name_H-M_alt 'C m c m'
_space_group_IT_number 63
_space_group_name_Hall '-C 2c 2'
_cell_length_a 3.007
_cell_length_b 16.242
_cell_length_c 6.839
_cell_angle_alpha 90.00
_cell_angle_beta 90.00
_cell_angle_gamma 90.00
loop_
_atom_site_label
_atom_site_type_symbol
_atom_site_fract_x
_atom_site_fract_y
_atom_site_fract_z
_atom_site_occupancy
Tb1 Tb 0.000 0.000 0.000 1
Ag1 Ag 0.000 0.319 0.250 1
Ge1 Ge 0.000 0.320 0.750 1
O1 O 0.000 0.136 0.069 1
O2 O 0.000 0.484 0.250 1
```

Computed properties:
Crystal system = orthorhombic
Magnetization = 0.006 μB/f.u.
Electronic total energy = -6.151 eV per atom



Entry 9:
VASP calculation (PBE) on a relaxed Gd2YAl3Ni3 crystal.

```
data_Gd2YAl3Ni3
_space_group_name_H-M_alt 'A m m 2'
_space_group_IT_number 38
_cell_length_a 3.968
_cell_length_b 12.061
_cell_length_c 6.919
_cell_angle_alpha 90.00
_cell_angle_beta 90.00
_cell_angle_gamma 90.00
loop_
_space_group_symop_operation_xyz
'x,y,z'
'-x,-y,z'
'-x,y,z'
'x,-y,z'
'x,y+1/2,z+1/2'
'-x,-y+1/2,z+1/2'
'-x,y+1/2,z+1/2'
'x,-y+1/2,z+1/2'
loop_
_atom_site_label
_atom_site_type_symbol
_atom_site_fract_x
_atom_site_fract_y
_atom_site_fract_z
_atom_site_occupancy
Gd1 Gd 0.000 0.208 0.000 1
Y1 Y 0.000 0.000 0.625 1
Al1 Al 0.500 0.000 0.974 1
Al2 Al 0.500 0.116 0.327 1
Ni1 Ni 0.000 0.000 0.209 1
Ni2 Ni 0.500 0.167 0.708 1
```

Computed properties:
Crystal system = orthorhombic
Magnetization = 0.012 μB/f.u.
Electronic total energy = -5.450 eV per atom



Entry 10:
VASP calculation (PBE) on a relaxed Zn3N2 crystal.

```
data_Zn3N2
_space_group_name_H-M_alt 'I a -3'
_space_group_IT_number 206
_space_group_name_Hall '-I 2b 2c 3'
_cell_length_a 9.787
_cell_length_b 9.787
_cell_length_c 9.787
_cell_angle_alpha 90.00
_cell_angle_beta 90.00
_cell_angle_gamma 90.00
loop_
_atom_site_label
_atom_site_type_symbol
_atom_site_fract_x
_atom_site_fract_y
_atom_site_fract_z
_atom_site_occupancy
Zn1 Zn 0.101 0.150 0.627 1
N1 N 0.000 0.250 0.480 1
N2 N 0.250 0.250 0.250 1
```

Computed properties:
Crystal system = cubic
Electronic total energy = -3.975 eV per atom



Entry 11:
VASP calculation (PBE) on a relaxed KGdTaS4 crystal.

```
data_KGdTaS4
_space_group_name_H-M_alt 'P 1 21 1'
_space_group_IT_number 4
_cell_length_a 6.709
_cell_length_b 6.624
_cell_length_c 8.741
_cell_angle_alpha 90.00
_cell_angle_beta 107.98
_cell_angle_gamma 90.00
loop_
_space_group_symop_operation_xyz
'x,y,z'
'-x,y+1/2,-z'
loop_
_atom_site_label
_atom_site_type_symbol
_atom_site_fract_x
_atom_site_fract_y
_atom_site_fract_z
_atom_site_occupancy
K1 K 0.246 0.000 0.054 1
Gd1 Gd 0.202 0.977 0.539 1
Ta1 Ta 0.277 0.478 0.342 1
S1 S 0.004 0.225 0.709 1
S2 S 0.007 0.735 0.710 1
S3 S 0.417 0.537 0.143 1
S4 S 0.490 0.660 0.574 1
```

Computed properties:
Crystal system = monoclinic
Magnetization = 0.002 μB/f.u.
Electronic total energy = -6.273 eV per atom



Entry 12:
VASP calculation (PBE) on a relaxed Li3Nb2Al3O12 crystal.

```
data_Li3Nb2Al3O12
_space_group_name_H-M_alt 'I a -3 d'
_space_group_IT_number 230
_space_group_name_Hall '-I 4bd 2c 3'
_cell_length_a 11.508
_cell_length_b 11.508
_cell_length_c 11.508
_cell_angle_alpha 90.00
_cell_angle_beta 90.00
_cell_angle_gamma 90.00
loop_
_atom_site_label
_atom_site_type_symbol
_atom_site_fract_x
_atom_site_fract_y
_atom_site_fract_z
_atom_site_occupancy
Li1 Li 0.000 0.250 0.375 1
Nb1 Nb 0.000 0.000 0.000 1
Al1 Al 0.000 0.250 0.125 1
O1 O 0.029 0.079 0.653 1
```

Computed properties:
Crystal system = cubic
Magnetization = 2.002 μB/f.u.
Electronic total energy = -6.786 eV per atom



Question: The lowest electronic total energy belongs to which entry?
Answer: ZrMoP



Question: electronic total energy of number 9 (Gd2YAl3Ni3)?
Answer: -5.450 eV per atom



Question: Which value of electronic total energy does entry 2 give?
Answer: -9.181 eV per atom



Question: Which value of electronic total energy does entry 2 give?
Answer: -9.181 eV per atom